VASP calculation (PBE) on crystalline Mo3N2 at its relaxed geometry.

Structure (POSCAR):
```
Mo3N2
1.0
-0.331 -0.918 -4.954
-3.492 -3.201 -1.746
-4.660 2.598 -2.743
N Mo
4 6
Direct
0.838 0.838 0.487 N
0.338 0.338 0.987 N
0.662 0.662 0.013 N
0.162 0.162 0.513 N
0.750 0.417 0.750 Mo
0.583 0.917 0.250 Mo
0.250 0.583 0.250 Mo
0.417 0.083 0.750 Mo
0.917 0.250 0.250 Mo
0.083 0.750 0.750 Mo
```

Output
E_form (uncorrected) (eV/atom): -0.262